# 1
RePdNO: optimized geometry, PBE.

```
8
Lattice="-0.0736 2.5135 -2.9065 -1.9933 2.4603 2.1782 5.2513 2.4763 2.0086" Properties=species:S:1:pos:R:3 pbc="T T T"
O -0.9967 1.2302 1.0891
O -0.0368 1.2568 -1.4533
N 1.9514 0.9202 0.7464
N 2.2665 4.0430 0.8980
Pd 4.3739 2.0626 1.6729
Pd -0.1560 2.9007 -0.0286
Re 2.5889 2.4949 -0.4490
Re 1.6290 2.4683 2.0934
```

Calculated values
The calculation puts the energy above the lowest structure with this stoichiometry at 195.2 kJ/mol of formula units.

# 2
RePdNO: optimized geometry, PBE.

```
8
Lattice="2.6093 -3.2168 0.0000 2.6093 3.2168 0.0000 0.0000 0.0000 5.3330" Properties=species:S:1:pos:R:3 pbc="T T T"
N 3.9140 0.0000 1.4839
N 1.3047 0.0000 3.8492
Re 3.9140 0.0000 4.9505
Re 1.3047 0.0000 0.3825
Pd 2.6093 1.6084 2.6665
Pd 2.6093 -1.6084 2.6665
O 2.6093 -1.6084 0.0000
O 2.6093 1.6084 0.0000
```

Calculated values
The calculation puts the energy above the lowest structure with this stoichiometry at 226.3 kJ/mol of formula units.